1.
Material: ReSbPt3
Method: DFT, PBE
State: relaxed

Unit cell a=4.853 b=4.853 c=4.853 alpha=90.00 beta=90.00 gamma=90.00
Fractional positions:
Pt (0.000, 0.500, 0.000)
Pt (0.500, 0.000, 0.000)
Pt (0.000, 0.000, 0.500)
Sb (0.500, 0.500, 0.500)
Re (0.000, 0.000, 0.000)

Symmetry   Pm-3m (221)
DFT total energy   -5.918 eV/atom
Energy above the most stable polymorph in this dataset   0.0 meV/atom
Formation energy (no corrections)   1.0202 eV/atom
Volume   114.3 Å³/cell

***

2.
Material: Re2SbPt
Method: DFT, PBE
State: relaxed

Unit cell a=5.896 b=5.896 c=7.069 alpha=65.35 beta=65.35 gamma=90.00
Fractional positions:
Pt (0.750, 0.250, 0.500)
Pt (0.000, 0.000, 0.000)
Sb (0.250, 0.750, 0.500)
Sb (0.500, 0.500, 0.000)
Re (0.657, 0.125, 0.250)
Re (0.093, 0.625, 0.250)
Re (0.875, 0.907, 0.750)
Re (0.375, 0.343, 0.750)

Symmetry   I-42d (122)
DFT total energy   -7.473 eV/atom
Formation energy (no corrections)   1.2922 eV/atom
Volume   198.4 Å³/cell

***

3.
Material: ReSbPt2
Method: DFT, PBE
State: relaxed

Unit cell a=4.981 b=4.981 c=4.664 alpha=82.76 beta=82.76 gamma=36.34
Fractional positions:
Sb (0.750, 0.750, 0.750)
Pt (0.986, 0.986, 0.016)
Pt (0.514, 0.514, 0.484)
Re (0.250, 0.250, 0.250)

Symmetry   C2/m (12)
DFT total energy   -6.941 eV/atom
Formation energy (no corrections)   0.2216 eV/atom
Volume   68.0 Å³/cell

***

4.
Material: Re2SbPt
Method: DFT, PBE
State: relaxed

Unit cell a=9.281 b=9.281 c=9.281 alpha=18.17 beta=18.17 gamma=18.17
Fractional positions:
Pt (0.747, 0.747, 0.747)
Sb (0.501, 0.501, 0.501)
Re (0.997, 0.997, 0.997)
Re (0.255, 0.255, 0.255)

Symmetry   R3m (160)
DFT total energy   -8.464 eV/atom
Formation energy (no corrections)   0.3005 eV/atom
Volume   67.9 Å³/cell

***

5.
Material: ReSbPt2
Method: DFT, PBE
State: relaxed

Unit cell a=4.775 b=4.775 c=4.775 alpha=126.96 beta=127.10 gamma=78.20
Fractional positions:
Re (0.501, 0.501, 0.000)
Pt (0.999, 0.999, 0.000)
Pt (0.750, 0.250, 0.500)
Sb (0.250, 0.750, 0.500)

Symmetry   Imm2 (44)
DFT total energy   -6.917 eV/atom
Formation energy (no corrections)   0.2460 eV/atom
Volume   67.2 Å³/cell

***

6.
Material: Re2SbPt
Method: DFT, PBE
State: relaxed

Unit cell a=5.487 b=5.487 c=5.487 alpha=146.68 beta=131.57 gamma=60.05
Fractional positions:
Re (0.973, 0.973, 0.000)
Re (0.527, 0.527, 0.000)
Pt (0.250, 0.750, 0.500)
Sb (0.750, 0.250, 0.500)

Symmetry   Immm (71)
DFT total energy   -8.254 eV/atom
Formation energy (no corrections)   0.5109 eV/atom
Volume   67.3 Å³/cell